DFT (PBE+U) results for crystalline SrInWO6 at its relaxed geometry.

Output
raw total energy	-6.53	eV per atom
Fermi-level density of states	6.634	states/eV per cell
total moment	1.1	μB per cell

Unit cell a=5.5288 b=5.5288 c=5.2893 alpha=90.00 beta=90.00 gamma=120.00
Sites, in units of the cell vectors:
1 Sr 0.0000 0.0000 0.0000
2 In 0.3333 0.6667 0.5000
3 W 0.6667 0.3333 0.5000
4 O 0.3902 0.0301 0.7106
5 O 0.3902 0.3601 0.2894
6 O 0.6399 0.0301 0.2894
7 O 0.6399 0.6098 0.7106
8 O 0.9699 0.3601 0.7106
9 O 0.9699 0.6098 0.2894